Below is crystalline YPbClO2 at its relaxed geometry, with properties calculated at the PBE-GGA level.

Summary:
Formation energy without anion corrections in eV per atom: -2.334
Symmetry: P2_1/m (11)
VASP energy in eV per cell: -67.21
Spin magnetization in Bohr magnetons per cell: 0.00

Cell lengths 3.957, 6.616, 8.355 Å; angles 108.55, 90.00, 90.00 degrees
Fractional coordinates of all 10 atoms:
Y  0.250  0.341  0.590
Y  0.750  0.659  0.410
Pb  0.250  0.305  0.068
Pb  0.750  0.695  0.932
Cl  0.250  0.950  0.320
Cl  0.750  0.050  0.680
O  0.750  0.507  0.617
O  0.250  0.493  0.383
O  0.750  0.506  0.130
O  0.250  0.494  0.870